1.
This record from the Alexandria database describes AlSi2Ir after structural relaxation. The functional is GGA-PBE.

a = 6.883 Å, b = 6.883 Å, c = 6.883 Å
α = 132.82°, β = 132.82°, γ = 68.94°
Fractional coordinates of all 8 atoms:
Al1 0.000 0.000 0.000
Al2 0.750 0.250 0.500
Si1 0.160 0.625 0.035
Si2 0.375 0.410 0.535
Si3 0.590 0.125 0.965
Si4 0.875 0.840 0.465
Ir1 0.250 0.750 0.500
Ir2 0.500 0.500 0.000

**Polymorph energy (0 for the lowest one)**: 339.7 meV per atom
**Crystal system**: tetragonal
**Formation energy (no corrections)**: 0.14 eV/atom

2.
This record from the Alexandria database describes HfMg after structural relaxation. The functional is GGA-PBE.

a = 5.158 Å, b = 3.002 Å, c = 5.655 Å
α = 90.00°, β = 90.00°, γ = 90.00°
Fractional coordinates of all 4 atoms:
Hf1 0.250 0.000 0.150
Hf2 0.750 0.000 0.850
Mg1 0.250 0.500 0.659
Mg2 0.750 0.500 0.341

**Crystal system**: orthorhombic
**Energy of formation from the pure elements**: 0.191 eV per atom

3.
This record from the Alexandria database describes LiAgPtAu after structural relaxation. The functional is GGA-PBE.

a = 4.824 Å, b = 4.824 Å, c = 4.824 Å
α = 129.58°, β = 129.58°, γ = 74.08°
Fractional coordinates of all 4 atoms:
Li1 0.000 0.000 0.000
Ag1 0.250 0.750 0.500
Pt1 0.500 0.500 0.000
Au1 0.750 0.250 0.500

**Crystal system**: tetragonal
**Energy of formation from the pure elements**: -0.254 eV per atom

4.
This record from the Alexandria database describes DyThH after structural relaxation. The functional is GGA-PBE.

a = 7.993 Å, b = 4.809 Å, c = 20.710 Å
α = 90.00°, β = 90.00°, γ = 90.00°
Fractional coordinates of all 36 atoms:
Dy1 0.144 0.250 0.205
Dy2 0.148 0.750 0.481
Dy3 0.241 0.750 0.098
Dy4 0.259 0.250 0.598
Dy5 0.352 0.250 0.981
Dy6 0.356 0.750 0.705
Dy7 0.644 0.250 0.295
Dy8 0.648 0.750 0.019
Dy9 0.741 0.750 0.402
Dy10 0.759 0.250 0.902
Dy11 0.852 0.250 0.519
Dy12 0.856 0.750 0.795
Th1 0.050 0.250 0.362
Th2 0.058 0.750 0.940
Th3 0.155 0.250 0.795
Th4 0.345 0.750 0.295
Th5 0.442 0.250 0.440
Th6 0.450 0.750 0.862
Th7 0.550 0.250 0.138
Th8 0.558 0.750 0.560
Th9 0.655 0.250 0.705
Th10 0.845 0.750 0.205
Th11 0.942 0.250 0.060
Th12 0.950 0.750 0.638
H1 0.043 0.250 0.949
H2 0.154 0.750 0.828
H3 0.243 0.750 0.598
H4 0.257 0.250 0.098
H5 0.346 0.250 0.328
H6 0.457 0.750 0.449
H7 0.543 0.250 0.551
H8 0.654 0.750 0.672
H9 0.743 0.750 0.902
H10 0.757 0.250 0.402
H11 0.846 0.250 0.172
H12 0.957 0.750 0.051

**Polymorph energy (0 for the lowest one)**: 54.9 meV per atom
**Crystal system**: orthorhombic

5.
This record from the Alexandria database describes Li2ReSi after structural relaxation. The functional is GGA-PBE.

a = 4.885 Å, b = 4.885 Å, c = 4.885 Å
α = 147.14°, β = 127.25°, γ = 63.56°
Fractional coordinates of all 4 atoms:
Li1 0.000 0.000 0.000
Li2 0.771 0.271 0.500
Re1 0.265 0.765 0.500
Si1 0.526 0.526 0.000

**Crystal system**: orthorhombic
**Formation energy (no corrections)**: 0.17 eV/atom

6.
This record from the Alexandria database describes LiErAg4 after structural relaxation. The functional is GGA-PBE.

a = 5.559 Å, b = 5.559 Å, c = 5.559 Å
α = 60.00°, β = 60.00°, γ = 60.00°
Fractional coordinates of all 6 atoms:
Li1 0.000 0.000 0.000
Er1 0.750 0.750 0.750
Ag1 0.375 0.375 0.375
Ag2 0.375 0.375 0.876
Ag3 0.375 0.876 0.375
Ag4 0.876 0.375 0.375

**Polymorph energy (0 for the lowest one)**: 45.8 meV per atom
**Crystal system**: cubic
**Energy of formation from the pure elements**: -0.129 eV per atom

VASP energy (computed, eV per cell): -45.8, -22.3, -15.1, -188.6, -21.0, -18.7